Ga2SiAu2 (PBE, relaxed); N(E_F) = 2.5 states/eV/f.u.; offset from the most stable computed form = 0.053 eV per atom; crystal system = tetragonal; space-group type = P4/mbm, No. 127; raw formation energy = 173 meV/atom; energy = -3.433 eV per atom
1.0
8.213 0.000 0.000
0.000 8.213 0.000
0.000 0.000 2.741
Ga Si Au
4 2 4
direct
0.127 0.373 0.000
0.373 0.873 0.000
0.627 0.127 0.000
0.873 0.627 0.000
0.000 0.000 0.000
0.500 0.500 0.000
0.173 0.673 0.500
0.327 0.173 0.500
0.673 0.827 0.500
0.827 0.327 0.500